# Pr2HoCd3Ir2Pt

A geometry-optimized Pr2HoCd3Ir2Pt structure (PBE, OQMD via LeMat-Bulk).

M_tot (μB/atom): 0.000
Energy of formation from the pure elements (eV per formula unit): -5.62
Volume (Å³/atom): 22.37

abc: 4.0394 13.1127 7.6028
angles: 90.00 90.00 90.00
With the nearest neighbours (Å) after each atom.
Space group Amm2 (No. 38)
Symmetry-distinct sites (fractional):
Pr 0.0000 0.2051 0.0000  4 Ir 3.09, 1 Pt 3.14, 6 Cd 3.25-3.39
Ho 0.0000 0.0000 0.6116  4 Ir 3.00, 1 Pt 3.04, 2 Cd 3.28
Cd 0.5000 0.0000 0.9509  2 Ir 2.83, 2 Pt 2.83
Cd 0.5000 0.1271 0.3326  2 Pt 2.77, 2 Ir 2.85-2.95
Ir 0.5000 0.1608 0.7024  3 Cd 2.83-2.95, 2 Ho 3.00, 4 Pr 3.09
Pt 0.0000 0.0000 0.2123  6 Cd 2.77-2.83, 1 Ho 3.04


# K2Ho2Cd

A geometry-optimized K2Ho2Cd structure (PBE, OQMD via LeMat-Bulk).

Calculated total energy (eV/atom): -1.961
M_tot (μB/atom): 0.038
Volume (Å³/atom): 48.20

abc: 9.7227 9.7307 20.3791
angles: 90.00 90.00 90.00
With the nearest neighbours (Å) after each atom.
Space group Fddd (No. 70, origin choice 2)
Symmetry-distinct sites (fractional):
K 0.1250 0.1250 0.3204  2 Cd 3.61, 2 Ho 4.04
Ho 0.0000 0.0000 0.5000  2 Cd 3.07, 2 Ho 3.44
Cd 0.1250 0.1250 0.6250  4 Ho 3.07


# K2Nd2HoMg3Cd

A geometry-optimized K2Nd2HoMg3Cd structure (PBE, OQMD via LeMat-Bulk).

Calculated total energy (eV/atom): -2.059
M_tot (μB/atom): 0.003
Volume (Å³/atom): 32.08

abc: 4.8923 14.1706 8.3287
angles: 90.00 90.00 90.00
With the nearest neighbours (Å) after each atom.
Space group Amm2 (No. 38)
Symmetry-distinct sites (fractional):
K 0.0000 0.1664 0.0000  3 Mg 3.32-3.39, 2 Ho 3.54, 4 Nd 3.56-3.59
Nd 0.5000 0.1862 0.3092  1 Cd 3.15
Ho 0.5000 0.0000 0.8819  1 Cd 3.06
Mg 0.0000 0.0000 0.2923  2 Cd 3.07, 2 Mg 3.09, 2 K 3.39
Mg 0.0000 0.1076 0.6147  2 Cd 3.00, 2 Mg 3.05-3.09, 2 K 3.32-3.34
Cd 0.5000 0.0000 0.5151  6 Mg 3.00-3.07, 1 Ho 3.06, 2 Nd 3.15


# K2PrHo2Mg3Cd

A geometry-optimized K2PrHo2Mg3Cd structure (PBE, OQMD via LeMat-Bulk).

Calculated total energy (eV/atom): -2.011
M_tot (μB/atom): 0.015
Volume (Å³/atom): 31.91

abc: 4.8676 14.4582 8.1619
angles: 90.00 90.00 90.00
With the nearest neighbours (Å) after each atom.
Space group Amm2 (No. 38)
Symmetry-distinct sites (fractional):
K 0.0000 0.1678 0.0000  3 Mg 3.30-3.38, 4 Ho 3.54-3.56, 2 Pr 3.59
Pr 0.5000 0.0000 0.1278  1 Cd 3.17
Ho 0.5000 0.1877 0.6836  1 Cd 3.04
Mg 0.0000 0.0000 0.7251  2 Cd 2.97, 2 Mg 3.07, 2 K 3.30
Mg 0.0000 0.1073 0.4007  2 Cd 3.04, 2 Mg 3.07-3.10, 2 K 3.35-3.38
Cd 0.5000 0.0000 0.5159  6 Mg 2.97-3.04, 2 Ho 3.04, 1 Pr 3.17


# K2Pr2HoMg3Cd

A geometry-optimized K2Pr2HoMg3Cd structure (PBE, OQMD via LeMat-Bulk).

Calculated total energy (eV/atom): -2.075
M_tot (μB/atom): 0.003
Volume (Å³/atom): 32.34

abc: 4.9070 14.1939 8.3576
angles: 90.00 90.00 90.00
With the nearest neighbours (Å) after each atom.
Space group Amm2 (No. 38)
Symmetry-distinct sites (fractional):
K 0.0000 0.1663 0.0000  3 Mg 3.32-3.40, 2 Ho 3.54, 4 Pr 3.57-3.60
Pr 0.5000 0.1862 0.3087  1 Cd 3.17
Ho 0.5000 0.0000 0.8832  1 Cd 3.06
Mg 0.0000 0.0000 0.2934  2 Cd 3.09, 2 Mg 3.09, 2 K 3.40
Mg 0.0000 0.1074 0.6156  2 Cd 3.00, 2 Mg 3.05-3.09, 2 K 3.32-3.35
Cd 0.5000 0.0000 0.5175  6 Mg 3.00-3.09, 1 Ho 3.06, 2 Pr 3.17


# KHoCdO3

A geometry-optimized KHoCdO3 structure (PBE, OQMD via LeMat-Bulk).

Calculated total energy (eV/atom): -5.614
M_tot (μB/atom): 0.000
Volume (Å³/atom): 17.57

abc: 3.5603 13.0114 9.1025
angles: 90.00 90.00 90.00
With the nearest neighbours (Å) after each atom.
Space group Cmcm (No. 63)
Symmetry-distinct sites (fractional):
K 0.0000 0.1819 0.2500  4 O 2.64-2.74
Ho 0.0000 0.5000 0.0000  6 O 2.29-2.30
Cd 0.0000 0.0975 0.7500  2 O 2.09
O 0.0000 0.1112 0.5216  1 Cd 2.09, 2 Ho 2.30
O 0.0000 0.4780 0.7500  2 Ho 2.29, 2 Cd 2.36